This record from Alexandria describes AgWN2F after structural relaxation. The functional is PBE with a Hubbard U.

Cell: 4.005 4.005 4.180 Å, 90.00 90.00 90.00°
Element x y z (fractional)
1 Ag 0.000 0.000 0.000
2 W 0.500 0.500 0.500
3 N 0.000 0.500 0.500
4 N 0.500 0.000 0.500
5 F 0.500 0.500 0.000

Results
relative energy among the computed polymorphs = 0.000 eV/f.u.
volume = 67.0 Å³/f.u.
total energy = -5.7693 eV per atom
Fermi-level density of states = 1.0 states/eV/cell
spin magnetization = 0.35 Bohr magnetons per cell
space group = P4/mmm (123)